# Nd4ThSc (PBE, relaxed)
data_Nd4ThSc
_symmetry_space_group_name_H-M 'C 1 2/c 1'
_symmetry_Int_Tables_number 15
_symmetry_space_group_name_Hall '-C 2yc'
_cell_length_a 10.2924
_cell_length_b 11.4639
_cell_length_c 7.5780
_cell_angle_alpha 90.00
_cell_angle_beta 117.58
_cell_angle_gamma 90.00
loop_
_atom_site_label
_atom_site_fract_x
_atom_site_fract_y
_atom_site_fract_z
Nd1 0.0756 0.2423 0.0028
Nd2 0.1747 0.4910 0.7622
Th1 0.0000 0.0199 0.2500
Sc1 0.2500 0.2500 0.5000
# size of the total moment: 0.00 μB/cell
# electronic total energy: -5.285 eV per atom
# DOS(E_F): 1.6348 states/eV per atom
# formation enthalpy at 0 K: 0.185 eV per atom